Here is a geometry-optimized NiMoIr4 structure from Alexandria. Energies are from PBE-GGA.

a = 5.094 Å, b = 5.094 Å, c = 5.094 Å
α = 60.00°, β = 60.00°, γ = 60.00°
Element x y z (fractional)
Ir 0.375 0.375 0.876
Ir 0.375 0.375 0.375
Ir 0.876 0.375 0.375
Ir 0.375 0.876 0.375
Ni 0.000 0.000 0.000
Mo 0.750 0.750 0.750

Summary:
Fermi-level density of states = 9.40 states/eV per cell
VASP energy = -49.7 eV per cell
Total moment = 0.03 Bohr magnetons per cell
Formation energy = 0.388 eV per atom

***

Here is a geometry-optimized Ni2MoIr structure from Alexandria. Energies are from PBE-GGA.

a = 3.729 Å, b = 3.730 Å, c = 3.744 Å
α = 90.00°, β = 90.00°, γ = 90.00°
Element x y z (fractional)
Ir 0.500 0.000 0.500
Ni 0.000 0.000 0.000
Ni 0.500 0.500 0.000
Mo 0.000 0.500 0.500

Summary:
Fermi-level density of states = 4.79 states/eV per cell
VASP energy = -31.5 eV per cell
Total moment = 0.00 Bohr magnetons per cell
Formation energy = -0.071 eV per atom

***

Here is a geometry-optimized Ni2MoIr structure from Alexandria. Energies are from PBE-GGA.

a = 4.543 Å, b = 4.543 Å, c = 4.611 Å
α = 79.87°, β = 79.87°, γ = 34.49°
Element x y z (fractional)
Ni 0.497 0.497 0.496
Ni 0.003 0.003 0.004
Mo 0.250 0.250 0.250
Ir 0.750 0.750 0.750

Summary:
Fermi-level density of states = 5.39 states/eV per cell
VASP energy = -31.3 eV per cell
Total moment = 0.00 Bohr magnetons per cell
Formation energy = -0.013 eV per atom